VASP calculation (PBE-GGA) on a relaxed structure of Ho2Ni3B6.

Unit cell a=5.787 b=5.787 c=3.471 alpha=90.00 beta=90.00 gamma=96.48
Element x y z (fractional)
1 Ho 0.225 0.775 0.000
2 Ho 0.775 0.225 0.000
3 Ni 0.272 0.272 0.000
4 Ni 0.500 0.500 0.500
5 Ni 0.728 0.728 0.000
6 B 0.113 0.113 0.500
7 B 0.114 0.415 0.500
8 B 0.415 0.114 0.500
9 B 0.585 0.886 0.500
10 B 0.886 0.585 0.500
11 B 0.887 0.887 0.500

Properties
The calculation puts the formation energy at -6.34 eV per formula unit. Its density of states at the Fermi level is 4.6 states/eV/f.u. The space group is Cmmm, No. 65. The calculation puts the magnetic moment at 0.0 μB per formula unit.